Density functional theory data (PBE-GGA) for a relaxed Ho2PaWC4 crystal.

Geometry as extended XYZ:
```
16
Lattice="1.724 -5.937 0.000 1.724 5.937 0.000 0.000 0.000 12.288" Properties=species:S:1:pos:R:3 pbc="T T T"
Ho 1.724 4.386 6.598
Ho 1.724 4.386 11.834
Ho 1.724 -4.386 0.454
Ho 1.724 -4.386 5.690
Pa 1.724 1.274 9.216
Pa 1.724 -1.274 3.072
W 1.724 1.854 3.072
W 1.724 -1.854 9.216
C 1.724 5.314 9.216
C 1.724 3.183 1.649
C 1.724 3.183 4.495
C 1.724 0.000 0.000
C 1.724 0.000 6.144
C 1.724 -3.183 7.793
C 1.724 -3.183 10.639
C 1.724 -5.314 3.072
```

Output
Spin magnetization ... 0.00 μB/cell
SG ... Cmcm
Energy relative to the elements ... -67 meV/atom